Computed, not measured: an optimized crystal structure of LiGdSnAu at the PBE level of DFT.

```
4
Lattice="5.019 0.000 0.000 2.510 4.347 0.000 2.510 1.449 4.098" Properties=species:S:1:pos:R:3 pbc="T T T"
Gd 0.000 0.000 0.000
Sn 2.510 1.449 1.025
Li 5.019 2.898 2.049
Au 7.529 4.347 3.074
```

Calculated values
**E_form**: -613 meV/atom
**Raw total energy**: -6.431 eV/atom
**Space-group type**: F-43m, No. 216

***

Computed, not measured: an optimized crystal structure of Sm4DyHo at the PBE level of DFT.

```
6
Lattice="6.622 0.000 0.000 3.311 5.735 0.000 3.311 1.912 5.407" Properties=species:S:1:pos:R:3 pbc="T T T"
Sm 6.622 3.823 0.674
Dy 3.311 1.912 1.352
Ho 0.000 0.000 0.000
Sm 6.622 1.910 3.380
Sm 8.279 4.780 3.380
Sm 4.966 4.780 3.380
```

Calculated values
**E_form**: 262 meV/atom
**Raw total energy**: -4.414 eV/atom
**Excess energy over the best structure of this formula in the dataset**: 1.48 eV/f.u.
**Space-group type**: F-43m, No. 216

***

Computed, not measured: an optimized crystal structure of PmTeS3 at the PBE level of DFT.

```
20
Lattice="7.047 0.000 -0.519 0.000 7.449 0.000 -1.309 0.000 10.080" Properties=species:S:1:pos:R:3 pbc="T T T"
S 5.675 2.363 0.627
S 1.497 1.362 5.926
Te 5.719 6.541 5.510
S 4.242 6.087 3.635
Pm 2.270 6.525 7.601
S 0.542 4.947 5.559
Pm 6.448 4.648 2.302
Te 0.019 0.908 4.051
S 4.720 6.226 0.259
Te 2.889 2.817 8.832
S 4.166 4.613 6.935
Te 2.850 4.632 0.729
Pm 3.468 0.924 1.960
S 5.196 2.502 4.002
S 0.063 5.086 8.935
S 1.572 2.836 2.626
Pm -0.710 2.801 7.260
S 1.018 1.222 9.302
S 1.297 6.561 2.155
S 4.441 0.888 7.407
```

Calculated values
**Raw total energy**: -4.899 eV/atom
**Formation energy without anion corrections**: -0.84 eV/atom
**Space-group type**: P2_1/c, No. 14